No. 1
Pr3P3Pd: relaxed, PBE-GGA.

Geometry as CIF:
```
data_Pr3P3Pd
_cell_length_a 8.5219
_cell_length_b 8.5219
_cell_length_c 5.8936
_cell_angle_alpha 90.00
_cell_angle_beta 90.00
_cell_angle_gamma 120.00
_symmetry_space_group_name_H-M 'P 63/m'
_symmetry_Int_Tables_number 176
_symmetry_space_group_name_Hall '-P 6c'
loop_
_atom_site_label
_atom_site_type_symbol
_atom_site_fract_x
_atom_site_fract_y
_atom_site_fract_z
_atom_site_occupancy
Pr1 Pr 0.0586 0.3650 0.2500 1
P1 P 0.0626 0.3686 0.7500 1
Pd1 Pd 0.3333 0.6667 0.7500 1
```

Calculated volume ... 26.48 Å³ per atom
Formation energy ... -1.254 eV per atom
Calculated density ... 5.57 g cm⁻³

---

No. 2
Pr3P2Pd5: relaxed, PBE-GGA.

Geometry as CIF:
```
data_Pr3P2Pd5
_cell_length_a 11.3523
_cell_length_b 12.1840
_cell_length_c 6.0705
_cell_angle_alpha 90.00
_cell_angle_beta 90.00
_cell_angle_gamma 90.00
_symmetry_space_group_name_H-M 'I b a m'
_symmetry_Int_Tables_number 72
_symmetry_space_group_name_Hall '-I 2 2c'
loop_
_atom_site_label
_atom_site_type_symbol
_atom_site_fract_x
_atom_site_fract_y
_atom_site_fract_z
_atom_site_occupancy
Pr1 Pr 0.0000 0.0000 0.2500 1
Pr2 Pr 0.2059 0.3760 0.0000 1
P1 P 0.1414 0.1460 0.0000 1
Pd1 Pd 0.0000 0.2486 0.2500 1
Pd2 Pd 0.0000 0.5000 0.2500 1
Pd3 Pd 0.1557 0.3725 0.5000 1
```

Calculated volume ... 20.99 Å³ per atom
Formation energy ... -0.772 eV per atom
Calculated density ... 8.04 g cm⁻³

---

No. 3
PrP2Pd3: relaxed, PBE-GGA.

Geometry as CIF:
```
data_PrP2Pd3
_cell_length_a 16.3427
_cell_length_b 4.0305
_cell_length_c 9.9352
_cell_angle_alpha 90.00
_cell_angle_beta 108.18
_cell_angle_gamma 90.00
_symmetry_space_group_name_H-M 'C 1 2/m 1'
_symmetry_Int_Tables_number 12
loop_
_symmetry_equiv_pos_as_xyz
'x,y,z'
'-x,-y,-z'
'-x,y,-z'
'x,-y,z'
'x+1/2,y+1/2,z'
'-x+1/2,-y+1/2,-z'
'-x+1/2,y+1/2,-z'
'x+1/2,-y+1/2,z'
loop_
_atom_site_label
_atom_site_type_symbol
_atom_site_fract_x
_atom_site_fract_y
_atom_site_fract_z
_atom_site_occupancy
Pr1 Pr 0.0000 0.0000 0.0000 1
Pr2 Pr 0.1511 0.0000 0.7003 1
P1 P 0.0352 0.5000 0.7877 1
P2 P 0.1338 0.5000 0.4502 1
P3 P 0.2016 0.0000 0.1319 1
Pd1 Pd 0.0000 0.5000 0.5000 1
Pd2 Pd 0.0462 0.0000 0.3341 1
Pd3 Pd 0.1321 0.5000 0.2100 1
Pd4 Pd 0.1780 0.5000 0.9658 1
Pd5 Pd 0.2275 0.0000 0.3931 1
```

Calculated volume ... 17.27 Å³ per atom
Formation energy ... -0.889 eV per atom
Calculated density ... 8.37 g cm⁻³